The following is a DFT calculation (PBE) of crystalline LiPm2As3Pd4 at its relaxed geometry.

Cell lengths 4.274, 4.274, 10.313 Å; angles 90.00, 90.00, 90.00 degrees
Space group P-4m2 (No. 115)
Inequivalent atoms, fractional coordinates:
Li  0.000  0.000  0.000
Pm  0.000  0.500  0.740
As  0.000  0.500  0.359
As  0.500  0.500  0.000
Pd  0.000  0.000  0.500
Pd  0.000  0.500  0.124
Pd  0.500  0.500  0.500

DOS(E_F)	0.419	states/eV per atom
mass density	8.4	Mg/m³
E	-0.20246	hartree per atom

The following is a DFT calculation (PBE) of crystalline LiPmAs2Pd at its relaxed geometry.

Cell lengths 5.678, 6.128, 5.595 Å; angles 90.00, 90.00, 90.00 degrees
Space group Pmma (No. 51)
Inequivalent atoms, fractional coordinates:
Li  0.250  0.000  0.102
Pm  0.250  0.500  0.270
As  0.250  0.267  0.754
Pd  0.000  0.000  0.500

DOS(E_F)	0.462	states/eV per atom
mass density	7.0	Mg/m³
E	-0.18445	hartree per atom

The following is a DFT calculation (PBE) of crystalline LiPm2As4Pd3 at its relaxed geometry.

Cell lengths 4.169, 4.169, 11.110 Å; angles 90.00, 90.00, 90.00 degrees
Space group P-4m2 (No. 115)
Inequivalent atoms, fractional coordinates:
Li  0.000  0.000  0.000
Pm  0.000  0.500  0.762
As  0.000  0.000  0.500
As  0.000  0.500  0.136
As  0.500  0.500  0.500
Pd  0.000  0.500  0.360
Pd  0.500  0.500  0.000

DOS(E_F)	0.242	states/eV per atom
mass density	7.9	Mg/m³
E	-0.19994	hartree per atom

The following is a DFT calculation (PBE) of crystalline LiPmAs2Pd2 at its relaxed geometry.

Cell lengths 4.3205, 4.3205, 6.7172 Å; angles 90.00, 90.00, 120.00 degrees
Space group P-3m1 (No. 164)
Inequivalent atoms, fractional coordinates:
Li  0.0000  0.0000  0.0000
Pm  0.0000  0.0000  0.5000
As  0.3333  0.6667  0.7671
Pd  0.3333  0.6667  0.1685

DOS(E_F)	0.617	states/eV per atom
mass density	7.9	Mg/m³
E	-0.19470	hartree per atom

What energy of formation from the pure elements values result from the calculations? In sequence: -86.4, -76.0, -85.0, -87.5 kJ per mole of atoms.